[1]
Here is a geometry-optimized TbSmGd2 structure from Alexandria. Energies are from GGA-PBE.

```
TbSmGd2
1.0
3.586 0.000 0.000
0.000 3.586 0.000
0.000 0.000 10.147
Tb Sm Gd
1 1 2
Direct
0.000 0.000 0.000
0.000 0.000 0.500
0.500 0.500 0.248
0.500 0.500 0.752
```

Results
**D(E_F)**: 7.1 states/eV per cell
**Space group**: No. 123
**Crystal system**: tetragonal
**Offset from the most stable computed form**: 0.2 kJ/mol of atoms

---

[2]
Here is a geometry-optimized LiSm2Ga structure from Alexandria. Energies are from GGA-PBE.

```
LiSm2Ga
1.0
1.680 0.970 11.633
-1.680 0.970 11.633
0.000 -1.940 11.633
Li Sm Ga
1 2 1
Direct
0.000 0.000 0.000
0.413 0.413 0.413
0.587 0.587 0.587
0.500 0.500 0.500
```

Results
**D(E_F)**: 4.5 states/eV per cell
**Space group**: No. 166
**Crystal system**: trigonal
**Total energy**: -0.1233 hartree per atom

---

[3]
Here is a geometry-optimized PrPa2PbO8 structure from Alexandria. Energies are from GGA-PBE.

```
PrPa2PbO8
1.0
-2.771 2.771 5.461
2.771 -2.771 5.461
2.771 2.771 -5.461
Pr Pa Pb O
1 2 1 8
Direct
0.000 0.000 0.000
0.250 0.750 0.500
0.500 0.500 0.000
0.750 0.250 0.500
0.147 0.125 0.522
0.147 0.625 0.022
0.375 0.397 0.522
0.375 0.853 0.978
0.603 0.125 0.978
0.603 0.625 0.478
0.875 0.397 0.022
0.875 0.853 0.478
```

Results
**Energy relative to the elements, uncorrected**: -3035.8 meV/atom
**D(E_F)**: 1.5 states/eV per cell
**Space group**: No. 119
**Crystal system**: tetragonal

---

[4]
Here is a geometry-optimized Ce4Se3S2 structure from Alexandria. Energies are from GGA-PBE.

```
Ce4Se3S2
1.0
4.196 -7.240 0.000
4.196 7.240 0.000
0.000 0.000 7.991
Ce Se S
8 6 4
Direct
0.213 0.787 0.968
0.248 0.252 0.250
0.252 0.248 0.750
0.287 0.713 0.468
0.713 0.287 0.532
0.748 0.752 0.250
0.752 0.748 0.750
0.787 0.213 0.032
0.000 0.000 0.000
0.050 0.450 0.750
0.450 0.050 0.250
0.500 0.500 0.500
0.550 0.950 0.750
0.950 0.550 0.250
0.108 0.892 0.619
0.392 0.608 0.119
0.608 0.392 0.881
0.892 0.108 0.381
```

Results
**Energy relative to the elements, uncorrected**: -1700.0 meV/atom
**D(E_F)**: 53.3 states/eV per cell
**Space group**: No. 64
**Crystal system**: orthorhombic

---

[5]
Here is a geometry-optimized HoSbPt structure from Alexandria. Energies are from GGA-PBE.

```
HoSbPt
1.0
0.000 3.297 3.297
3.297 0.000 3.297
3.297 3.297 0.000
Ho Sb Pt
1 1 1
Direct
0.000 0.000 0.000
0.500 0.500 0.500
0.250 0.250 0.250
```

Results
**Energy relative to the elements, uncorrected**: -1229.6 meV/atom
**D(E_F)**: 0.1 states/eV per cell
**Space group**: No. 216
**Crystal system**: cubic

---

[6]
Here is a geometry-optimized Pm2DyNpS4 structure from Alexandria. Energies are from GGA-PBE.

```
Pm2DyNpS4
1.0
6.869 0.000 0.000
0.000 3.960 0.000
-2.279 0.000 6.514
Pm Dy Np S
2 1 1 4
Direct
0.000 0.000 0.000
0.500 0.500 0.000
0.000 0.500 0.500
0.500 0.000 0.500
0.245 0.000 0.739
0.254 0.500 0.261
0.746 0.500 0.739
0.755 0.000 0.261
```

Results
**Energy relative to the elements, uncorrected**: -1860.7 meV/atom
**D(E_F)**: 11.2 states/eV per cell
**Space group**: No. 10
**Crystal system**: monoclinic

---

[7]
Here is a geometry-optimized RbBeCr2 structure from Alexandria. Energies are from GGA-PBE.

```
RbBeCr2
1.0
-2.911 2.911 7.402
2.911 -2.911 7.402
2.911 2.911 -7.402
Rb Be Cr
2 2 4
Direct
0.375 0.625 0.750
0.625 0.375 0.250
0.125 0.875 0.250
0.875 0.125 0.750
0.000 0.000 0.000
0.000 0.000 0.500
0.000 0.500 0.000
0.500 0.000 0.500
```

Results
**D(E_F)**: 1.9 states/eV per cell
**Space group**: No. 141
**Crystal system**: tetragonal
**Total energy**: -0.1695 hartree per atom

---

[8]
Here is a geometry-optimized Tm3ScIn2 structure from Alexandria. Energies are from GGA-PBE.

```
Tm3ScIn2
1.0
8.027 0.000 0.000
0.000 3.498 0.000
0.000 0.000 22.942
Tm Sc In
12 4 8
Direct
0.086 0.250 0.132
0.170 0.750 0.004
0.227 0.250 0.275
0.273 0.750 0.775
0.330 0.250 0.504
0.414 0.750 0.632
0.586 0.250 0.368
0.670 0.750 0.496
0.727 0.250 0.225
0.773 0.750 0.725
0.830 0.250 0.996
0.914 0.750 0.868
0.031 0.750 0.561
0.469 0.250 0.061
0.531 0.750 0.939
0.969 0.250 0.439
0.094 0.250 0.675
0.240 0.250 0.889
0.260 0.750 0.389
0.406 0.750 0.175
0.594 0.250 0.825
0.740 0.250 0.611
0.760 0.750 0.111
0.906 0.750 0.325
```

Results
**D(E_F)**: 22.9 states/eV per cell
**Space group**: No. 62
**Crystal system**: orthorhombic
**Offset from the most stable computed form**: 3.3 kJ/mol of atoms

---

- Number 8 is which compound?
  Tm3ScIn2

---

- Which of these has the lowest D(E_F)?
  HoSbPt

---

Repeat the fourth record exactly.
Here is a geometry-optimized Ce4Se3S2 structure from Alexandria. Energies are from GGA-PBE.

```
Ce4Se3S2
1.0
4.196 -7.240 0.000
4.196 7.240 0.000
0.000 0.000 7.991
Ce Se S
8 6 4
Direct
0.213 0.787 0.968
0.248 0.252 0.250
0.252 0.248 0.750
0.287 0.713 0.468
0.713 0.287 0.532
0.748 0.752 0.250
0.752 0.748 0.750
0.787 0.213 0.032
0.000 0.000 0.000
0.050 0.450 0.750
0.450 0.050 0.250
0.500 0.500 0.500
0.550 0.950 0.750
0.950 0.550 0.250
0.108 0.892 0.619
0.392 0.608 0.119
0.608 0.392 0.881
0.892 0.108 0.381
```

Results
**Energy relative to the elements, uncorrected**: -1700.0 meV/atom
**D(E_F)**: 53.3 states/eV per cell
**Space group**: No. 64
**Crystal system**: orthorhombic